Density functional theory data (PBE) for crystalline LaNiH6Pt at its relaxed geometry.

POSCAR file:
```
LaNiH6Pt
1.0
4.6843 0.0000 0.0000
-2.3421 4.0567 0.0000
0.0000 0.0000 4.3667
La Ni H Pt
1 1 6 1
Cartesian
0.0000 0.0000 0.0000 La
2.3421 1.3522 2.1834 Ni
2.3421 0.0761 1.1030 H
2.3421 0.0761 3.2638 H
1.2370 1.9903 1.1030 H
1.2370 1.9903 3.2638 H
3.4473 1.9903 1.1030 H
3.4473 1.9903 3.2638 H
0.0000 2.7045 2.1834 Pt
```

Output
Fermi-level density of states = 1.10 states/eV/cell
Space group = No. 187
VASP energy = -4.5087 eV/atom
V = 83 Å³ per cell

=====

Density functional theory data (PBE) for crystalline SrGa3Au at its relaxed geometry.

POSCAR file:
```
SrGa3Au
1.0
5.0961 0.0000 0.0000
0.0000 5.0961 0.0000
0.0000 0.0000 5.0961
Sr Ga Au
1 3 1
Cartesian
0.0000 0.0000 0.0000 Sr
0.0000 2.5481 2.5481 Ga
2.5481 0.0000 2.5481 Ga
2.5481 2.5481 0.0000 Ga
2.5481 2.5481 2.5481 Au
```

Output
Fermi-level density of states = 3.27 states/eV/cell
Formation enthalpy at 0 K = -40 kJ/mol of formula units
Space group = No. 221
VASP energy = -2.8909 eV/atom
V = 132 Å³ per cell

=====

Density functional theory data (PBE) for crystalline SrCuSn at its relaxed geometry.

POSCAR file:
```
SrCuSn
1.0
4.6859 0.0000 0.0000
0.0000 4.6859 0.0000
0.0000 0.0000 7.2308
Sr Cu Sn
2 2 2
Cartesian
1.1715 1.1715 1.3408 Sr
3.5144 3.5144 5.8899 Sr
1.1715 3.5144 3.6154 Cu
3.5144 1.1715 3.6154 Cu
1.1715 1.1715 4.9997 Sn
3.5144 3.5144 2.2311 Sn
```

Output
Fermi-level density of states = 5.40 states/eV/cell
Formation enthalpy at 0 K = -116 kJ/mol of formula units
Space group = No. 129
VASP energy = -3.6608 eV/atom
V = 159 Å³ per cell